No. 1
CrAsOsBr2 (PBE, relaxed); energy relative to the lowest polymorph listed for this composition = 0.0000 eV per atom; formation energy from raw total energies = 6.24 eV/f.u.; volume = 24.35 Å³ per atom; space-group type = P4/mmm, No. 123; density of states at the Fermi level = 5.15 states/eV/cell
1.0
4.9168 0.0000 0.0000
0.0000 4.9168 0.0000
0.0000 0.0000 5.0354
Cr As Os Br
1 1 1 2
Cartesian
0.0000 0.0000 0.0000
0.0000 0.0000 2.5177
2.4584 2.4584 2.5177
0.0000 2.4584 0.0000
2.4584 0.0000 0.0000

***

No. 2
CrAs2OsBr (PBE, relaxed); energy relative to the lowest polymorph listed for this composition = 0.0000 eV per atom; formation energy from raw total energies = 4.03 eV/f.u.; volume = 24.56 Å³ per atom; space-group type = P4/mmm, No. 123; density of states at the Fermi level = 4.79 states/eV/cell
1.0
4.7051 0.0000 0.0000
0.0000 4.7051 0.0000
0.0000 0.0000 5.5469
Cr As Os Br
1 2 1 1
Cartesian
2.3525 2.3525 2.7735
0.0000 2.3525 0.0000
2.3525 0.0000 0.0000
0.0000 0.0000 0.0000
0.0000 0.0000 2.7735

***

No. 3
CrAs2PBr (PBE, relaxed); energy relative to the lowest polymorph listed for this composition = 0.0943 eV per atom; formation energy from raw total energies = 4.02 eV/f.u.; volume = 23.22 Å³ per atom; space-group type = P4/mmm, No. 123; density of states at the Fermi level = 2.86 states/eV/cell
1.0
4.7814 0.0000 0.0000
0.0000 4.7814 0.0000
0.0000 0.0000 5.0787
Cr As Br P
1 2 1 1
Cartesian
2.3907 2.3907 2.5393
0.0000 2.3907 0.0000
2.3907 0.0000 0.0000
0.0000 0.0000 2.5393
0.0000 0.0000 0.0000

***

No. 4
CrAs2PBr (PBE, relaxed); energy relative to the lowest polymorph listed for this composition = 0.0000 eV per atom; formation energy from raw total energies = 3.55 eV/f.u.; volume = 22.35 Å³ per atom; space-group type = P4/mmm, No. 123; density of states at the Fermi level = 3.42 states/eV/cell
1.0
4.7979 0.0000 0.0000
0.0000 4.7979 0.0000
0.0000 0.0000 4.8542
Cr As Br P
1 2 1 1
Cartesian
0.0000 0.0000 0.0000
0.0000 2.3990 0.0000
2.3990 0.0000 0.0000
0.0000 0.0000 2.4271
2.3990 2.3990 2.4271